(1)
Material: SrInPb2
Method: DFT, GGA-PBEsol
State: relaxed

Cell and atoms, written as CIF:
```
data_SrInPb2
_chemical_formula_sum 'Sr2 In2 Pb4'
_symmetry_space_group_name_H-M 'I 4/m m m'
_symmetry_Int_Tables_number 139
_symmetry_space_group_name_Hall '-I 4 2'
_cell_length_a 4.824
_cell_length_b 4.824
_cell_length_c 10.078
_cell_angle_alpha 90.00
_cell_angle_beta 90.00
_cell_angle_gamma 90.00
loop_
_atom_site_label
_atom_site_type_symbol
_atom_site_fract_x
_atom_site_fract_y
_atom_site_fract_z
Sr1 Sr 0.000 0.000 0.000
In1 In 0.000 0.000 0.500
Pb1 Pb 0.000 0.500 0.250
```

Values from the calculation:
Total magnetic moment, μB per formula unit: 0.00
Uncorrected energy, eV for the cell shown: -28.30
E_form, meV/atom: -332

***

(2)
Material: BeSiIr2Os
Method: DFT, GGA-PBEsol
State: relaxed

Cell and atoms, written as CIF:
```
data_BeSiIr2Os
_chemical_formula_sum 'Be1 Si1 Ir2 Os1'
_symmetry_space_group_name_H-M 'P 4/m m m'
_symmetry_Int_Tables_number 123
_symmetry_space_group_name_Hall '-P 4 2'
_cell_length_a 3.990
_cell_length_b 3.990
_cell_length_c 4.119
_cell_angle_alpha 90.00
_cell_angle_beta 90.00
_cell_angle_gamma 90.00
loop_
_atom_site_label
_atom_site_type_symbol
_atom_site_fract_x
_atom_site_fract_y
_atom_site_fract_z
Be1 Be 0.000 0.000 0.000
Si1 Si 0.000 0.000 0.500
Ir1 Ir 0.000 0.500 0.000
Os1 Os 0.500 0.500 0.500
```

Values from the calculation:
Total magnetic moment, μB per formula unit: 0.00
Uncorrected energy, eV for the cell shown: -38.26
Raw formation energy, eV per atom: 0.670

***

(3)
Material: YBeHg2Ge
Method: DFT, GGA-PBEsol
State: relaxed

Cell and atoms, written as CIF:
```
data_YBeHg2Ge
_chemical_formula_sum 'Y1 Be1 Hg2 Ge1'
_symmetry_space_group_name_H-M 'P 4/m m m'
_symmetry_Int_Tables_number 123
_symmetry_space_group_name_Hall '-P 4 2'
_cell_length_a 5.520
_cell_length_b 5.520
_cell_length_c 5.001
_cell_angle_alpha 90.00
_cell_angle_beta 90.00
_cell_angle_gamma 90.00
loop_
_atom_site_label
_atom_site_type_symbol
_atom_site_fract_x
_atom_site_fract_y
_atom_site_fract_z
Y1 Y 0.000 0.000 0.000
Be1 Be 0.000 0.000 0.500
Hg1 Hg 0.000 0.500 0.000
Ge1 Ge 0.500 0.500 0.500
```

Values from the calculation:
Total magnetic moment, μB per formula unit: 0.00
Uncorrected energy, eV for the cell shown: -10.99
E_form, meV/atom: 1181

***

(4)
Material: LaLuAl4
Method: DFT, GGA-PBEsol
State: relaxed

Cell and atoms, written as CIF:
```
data_LaLuAl4
_chemical_formula_sum 'La4 Lu4 Al16'
_symmetry_space_group_name_H-M 'F -4 3 m'
_symmetry_Int_Tables_number 216
_symmetry_space_group_name_Hall 'F -4 2 3'
_cell_length_a 7.892
_cell_length_b 7.892
_cell_length_c 7.892
_cell_angle_alpha 90.00
_cell_angle_beta 90.00
_cell_angle_gamma 90.00
loop_
_atom_site_label
_atom_site_type_symbol
_atom_site_fract_x
_atom_site_fract_y
_atom_site_fract_z
La1 La 0.000 0.000 0.000
Lu1 Lu 0.250 0.250 0.250
Al1 Al 0.125 0.125 0.625
```

Values from the calculation:
Total magnetic moment, μB per formula unit: 0.00
Uncorrected energy, eV for the cell shown: -117.31
E_form, meV/atom: -457

***

(5)
Material: LaC2I
Method: DFT, GGA-PBEsol
State: relaxed

Cell and atoms, written as CIF:
```
data_LaC2I
_chemical_formula_sum 'La4 C8 I4'
_symmetry_space_group_name_H-M 'F m -3 m'
_symmetry_Int_Tables_number 225
_symmetry_space_group_name_Hall '-F 4 2 3'
_cell_length_a 6.446
_cell_length_b 6.446
_cell_length_c 6.446
_cell_angle_alpha 90.00
_cell_angle_beta 90.00
_cell_angle_gamma 90.00
loop_
_atom_site_label
_atom_site_type_symbol
_atom_site_fract_x
_atom_site_fract_y
_atom_site_fract_z
La1 La 0.000 0.000 0.000
C1 C 0.250 0.250 0.250
I1 I 0.000 0.000 0.500
```

Values from the calculation:
Total magnetic moment, μB per formula unit: 0.00
Uncorrected energy, eV for the cell shown: -79.60
Raw formation energy, eV per atom: 1.625

***

(6)
Material: Y3AgGe
Method: DFT, GGA-PBEsol
State: relaxed

Cell and atoms, written as CIF:
```
data_Y3AgGe
_chemical_formula_sum 'Y3 Ag1 Ge1'
_symmetry_space_group_name_H-M 'P m -3 m'
_symmetry_Int_Tables_number 221
_symmetry_space_group_name_Hall '-P 4 2 3'
_cell_length_a 5.347
_cell_length_b 5.347
_cell_length_c 5.347
_cell_angle_alpha 90.00
_cell_angle_beta 90.00
_cell_angle_gamma 90.00
loop_
_atom_site_label
_atom_site_type_symbol
_atom_site_fract_x
_atom_site_fract_y
_atom_site_fract_z
Y1 Y 0.000 0.000 0.500
Ag1 Ag 0.500 0.500 0.500
Ge1 Ge 0.000 0.000 0.000
```

Values from the calculation:
Total magnetic moment, μB per formula unit: 2.16
Uncorrected energy, eV for the cell shown: -28.61
E_form, meV/atom: 21

***

(7)
Material: LiInBr2
Method: DFT, GGA-PBEsol
State: relaxed

Cell and atoms, written as CIF:
```
data_LiInBr2
_chemical_formula_sum 'Li3 In3 Br6'
_symmetry_space_group_name_H-M 'R -3 m'
_symmetry_Int_Tables_number 166
_symmetry_space_group_name_Hall '-R 3 2"'
_cell_length_a 4.0213
_cell_length_b 4.0213
_cell_length_c 22.3438
_cell_angle_alpha 90.00
_cell_angle_beta 90.00
_cell_angle_gamma 120.00
loop_
_atom_site_label
_atom_site_type_symbol
_atom_site_fract_x
_atom_site_fract_y
_atom_site_fract_z
Li1 Li 0.0000 0.0000 0.0000
In1 In 0.0000 0.0000 0.5000
Br1 Br 0.0000 0.0000 0.2672
```

Values from the calculation:
Total magnetic moment, μB per formula unit: 0.00
Polymorph energy (0 for the lowest one), eV per formula unit: 0.00
Uncorrected energy, eV for the cell shown: -38.36
Raw formation energy, eV per atom: -1.025

***

(8)
Material: CuAg2Ir
Method: DFT, GGA-PBEsol
State: relaxed

Cell and atoms, written as CIF:
```
data_CuAg2Ir
_chemical_formula_sum 'Cu1 Ag2 Ir1'
_symmetry_space_group_name_H-M 'P 1 m 1'
_symmetry_Int_Tables_number 6
_cell_length_a 2.633
_cell_length_b 4.185
_cell_length_c 5.526
_cell_angle_alpha 90.00
_cell_angle_beta 103.80
_cell_angle_gamma 90.00
loop_
_symmetry_equiv_pos_as_xyz
'x,y,z'
'x,-y,z'
loop_
_atom_site_label
_atom_site_type_symbol
_atom_site_fract_x
_atom_site_fract_y
_atom_site_fract_z
Cu1 Cu 0.000 0.000 0.000
Ag1 Ag 0.229 0.000 0.474
Ag2 Ag 0.849 0.500 0.716
Ir1 Ir 0.588 0.500 0.184
```

Values from the calculation:
Total magnetic moment, μB per formula unit: 0.00
Polymorph energy (0 for the lowest one), eV per formula unit: 0.00
Uncorrected energy, eV for the cell shown: -19.55
E_form, meV/atom: 307

***

(9)
Material: K2BiAuBr
Method: DFT, GGA-PBEsol
State: relaxed

Cell and atoms, written as CIF:
```
data_K2BiAuBr
_chemical_formula_sum 'K2 Bi1 Au1 Br1'
_symmetry_space_group_name_H-M 'P 4/m m m'
_symmetry_Int_Tables_number 123
_symmetry_space_group_name_Hall '-P 4 2'
_cell_length_a 6.769
_cell_length_b 6.769
_cell_length_c 5.512
_cell_angle_alpha 90.00
_cell_angle_beta 90.00
_cell_angle_gamma 90.00
loop_
_atom_site_label
_atom_site_type_symbol
_atom_site_fract_x
_atom_site_fract_y
_atom_site_fract_z
K1 K 0.000 0.500 0.000
Bi1 Bi 0.000 0.000 0.000
Au1 Au 0.500 0.500 0.500
Br1 Br 0.000 0.000 0.500
```

Values from the calculation:
Total magnetic moment, μB per formula unit: 0.00
Uncorrected energy, eV for the cell shown: -12.17
Raw formation energy, eV per atom: 0.036

***

(10)
Material: YScSi
Method: DFT, GGA-PBEsol
State: relaxed

Cell and atoms, written as CIF:
```
data_YScSi
_chemical_formula_sum 'Y4 Sc4 Si4'
_symmetry_space_group_name_H-M 'F -4 3 m'
_symmetry_Int_Tables_number 216
_symmetry_space_group_name_Hall 'F -4 2 3'
_cell_length_a 6.572
_cell_length_b 6.572
_cell_length_c 6.572
_cell_angle_alpha 90.00
_cell_angle_beta 90.00
_cell_angle_gamma 90.00
loop_
_atom_site_label
_atom_site_type_symbol
_atom_site_fract_x
_atom_site_fract_y
_atom_site_fract_z
Y1 Y 0.000 0.000 0.000
Sc1 Sc 0.000 0.000 0.500
Si1 Si 0.250 0.250 0.250
```

Values from the calculation:
Total magnetic moment, μB per formula unit: 0.00
Polymorph energy (0 for the lowest one), eV per formula unit: 0.00
Uncorrected energy, eV for the cell shown: -82.92
Raw formation energy, eV per atom: -0.518

***

(11)
Material: CuAs2Pt
Method: DFT, GGA-PBEsol
State: relaxed

Cell and atoms, written as CIF:
```
data_CuAs2Pt
_chemical_formula_sum 'Cu4 As8 Pt4'
_symmetry_space_group_name_H-M 'I -4 2 d'
_symmetry_Int_Tables_number 122
_symmetry_space_group_name_Hall 'I -4 2bw'
_cell_length_a 4.198
_cell_length_b 4.198
_cell_length_c 15.380
_cell_angle_alpha 90.00
_cell_angle_beta 90.00
_cell_angle_gamma 90.00
loop_
_atom_site_label
_atom_site_type_symbol
_atom_site_fract_x
_atom_site_fract_y
_atom_site_fract_z
Cu1 Cu 0.000 0.000 0.000
As1 As 0.233 0.250 0.125
Pt1 Pt 0.000 0.000 0.500
```

Values from the calculation:
Total magnetic moment, μB per formula unit: 0.00
Polymorph energy (0 for the lowest one), eV per formula unit: 0.27
Uncorrected energy, eV for the cell shown: -85.93
E_form, meV/atom: 7

***

(12)
Material: ErMg16Al12
Method: DFT, GGA-PBEsol
State: relaxed

Cell and atoms, written as CIF:
```
data_ErMg16Al12
_chemical_formula_sum 'Er2 Mg32 Al24'
_symmetry_space_group_name_H-M 'I -4 3 m'
_symmetry_Int_Tables_number 217
_symmetry_space_group_name_Hall 'I -4 2 3'
_cell_length_a 10.462
_cell_length_b 10.462
_cell_length_c 10.462
_cell_angle_alpha 90.00
_cell_angle_beta 90.00
_cell_angle_gamma 90.00
loop_
_atom_site_label
_atom_site_type_symbol
_atom_site_fract_x
_atom_site_fract_y
_atom_site_fract_z
Er1 Er 0.000 0.000 0.000
Mg1 Mg 0.039 0.358 0.358
Mg2 Mg 0.178 0.178 0.822
Al1 Al 0.090 0.090 0.277
```

Values from the calculation:
Total magnetic moment, μB per formula unit: 0.00
Polymorph energy (0 for the lowest one), eV per formula unit: 0.00
Uncorrected energy, eV for the cell shown: -166.84
E_form, meV/atom: -66